Entry 1:
The following is a DFT calculation (PBE) of an optimized crystal structure of NaAc2AuO4.

Properties
volume	18.2	Å³/atom
formation energy from raw total energies	-17.42	eV/f.u.
M_tot	0.00	Bohr magnetons per cell

Structure (CIF):
```
data_NaAc2AuO4
_chemical_formula_sum 'Na1 Ac2 Au1 O4'
_symmetry_space_group_name_H-M 'P 1'
_symmetry_Int_Tables_number 1
_cell_length_a 6.190
_cell_length_b 5.477
_cell_length_c 6.231
_cell_angle_alpha 63.45
_cell_angle_beta 52.32
_cell_angle_gamma 64.23
loop_
_symmetry_equiv_pos_as_xyz
'x,y,z'
loop_
_atom_site_label
_atom_site_fract_x
_atom_site_fract_y
_atom_site_fract_z
Na1 0.000 0.000 0.000
Ac1 0.246 0.246 0.254
Ac2 0.746 0.746 0.754
Au1 0.377 0.377 0.623
O1 0.081 0.603 0.919
O2 0.285 0.807 0.193
O3 0.603 0.081 0.397
O4 0.807 0.285 0.715
```

---

Entry 2:
The following is a DFT calculation (PBE) of an optimized crystal structure of Pm3SnO.

Properties
volume	23.9	Å³/atom
formation energy from raw total energies	-7.37	eV/f.u.
M_tot	0.00	Bohr magnetons per cell

Structure (CIF):
```
data_Pm3SnO
_chemical_formula_sum 'Pm3 Sn1 O1'
_symmetry_space_group_name_H-M 'P 1'
_symmetry_Int_Tables_number 1
_cell_length_a 4.928
_cell_length_b 4.928
_cell_length_c 4.928
_cell_angle_alpha 90.00
_cell_angle_beta 90.00
_cell_angle_gamma 90.00
loop_
_symmetry_equiv_pos_as_xyz
'x,y,z'
loop_
_atom_site_label
_atom_site_fract_x
_atom_site_fract_y
_atom_site_fract_z
Pm1 0.000 0.000 0.500
Pm2 0.000 0.500 0.000
Pm3 0.500 0.000 0.000
Sn1 0.500 0.500 0.500
O1 0.000 0.000 0.000
```

---

Entry 3:
The following is a DFT calculation (PBE) of an optimized crystal structure of CsMoRu2Au.

Properties
E_tot	-3.7719	eV/atom
volume	23.5	Å³/atom
M_tot	3.62	Bohr magnetons per cell

Structure (CIF):
```
data_CsMoRu2Au
_chemical_formula_sum 'Cs1 Mo1 Ru2 Au1'
_symmetry_space_group_name_H-M 'P 1'
_symmetry_Int_Tables_number 1
_cell_length_a 4.844
_cell_length_b 4.844
_cell_length_c 5.006
_cell_angle_alpha 90.00
_cell_angle_beta 90.00
_cell_angle_gamma 90.00
loop_
_symmetry_equiv_pos_as_xyz
'x,y,z'
loop_
_atom_site_label
_atom_site_fract_x
_atom_site_fract_y
_atom_site_fract_z
Cs1 0.000 0.000 0.000
Mo1 0.000 0.000 0.500
Ru1 0.000 0.500 0.000
Ru2 0.500 0.000 0.000
Au1 0.500 0.500 0.500
```

---

Entry 4:
The following is a DFT calculation (PBE) of an optimized crystal structure of Tc2AsSe.

Properties
volume	21.2	Å³/atom
formation energy from raw total energies	1.37	eV/f.u.
M_tot	0.00	Bohr magnetons per cell

Structure (CIF):
```
data_Tc2AsSe
_chemical_formula_sum 'Tc4 As2 Se2'
_symmetry_space_group_name_H-M 'P 1'
_symmetry_Int_Tables_number 1
_cell_length_a 6.597
_cell_length_b 6.597
_cell_length_c 6.597
_cell_angle_alpha 128.90
_cell_angle_beta 128.90
_cell_angle_gamma 75.17
loop_
_symmetry_equiv_pos_as_xyz
'x,y,z'
loop_
_atom_site_label
_atom_site_fract_x
_atom_site_fract_y
_atom_site_fract_z
Tc1 0.124 0.625 0.999
Tc2 0.375 0.374 0.499
Tc3 0.626 0.125 0.001
Tc4 0.875 0.876 0.501
As1 0.250 0.750 0.500
As2 0.500 0.500 0.000
Se1 0.000 0.000 0.000
Se2 0.750 0.250 0.500
```

---

Entry 5:
The following is a DFT calculation (PBE) of an optimized crystal structure of PrGa5Au7.

Properties
E_tot	-3.5984	eV/atom
volume	18.8	Å³/atom
M_tot	0.00	Bohr magnetons per cell

Structure (CIF):
```
data_PrGa5Au7
_chemical_formula_sum 'Pr1 Ga5 Au7'
_symmetry_space_group_name_H-M 'P 1'
_symmetry_Int_Tables_number 1
_cell_length_a 7.158
_cell_length_b 7.158
_cell_length_c 7.158
_cell_angle_alpha 133.49
_cell_angle_beta 97.50
_cell_angle_gamma 100.45
loop_
_symmetry_equiv_pos_as_xyz
'x,y,z'
loop_
_atom_site_label
_atom_site_fract_x
_atom_site_fract_y
_atom_site_fract_z
Pr1 0.000 0.000 0.000
Ga1 0.484 0.498 0.501
Ga2 0.484 0.982 0.986
Ga3 0.757 0.257 0.500
Ga4 0.996 0.498 0.014
Ga5 0.996 0.982 0.499
Au1 0.175 0.477 0.698
Au2 0.219 0.719 0.500
Au3 0.339 0.339 0.000
Au4 0.345 0.005 0.340
Au5 0.666 0.005 0.660
Au6 0.669 0.669 0.000
Au7 0.779 0.477 0.302
```

---

Entry 6:
The following is a DFT calculation (PBE) of an optimized crystal structure of La8IrRh3.

Properties
E_tot	-6.4075	eV/atom
volume	31.5	Å³/atom
M_tot	0.00	Bohr magnetons per cell

Structure (CIF):
```
data_La8IrRh3
_chemical_formula_sum 'La8 Ir1 Rh3'
_symmetry_space_group_name_H-M 'P 1'
_symmetry_Int_Tables_number 1
_cell_length_a 8.368
_cell_length_b 8.368
_cell_length_c 6.406
_cell_angle_alpha 105.82
_cell_angle_beta 105.82
_cell_angle_gamma 62.86
loop_
_symmetry_equiv_pos_as_xyz
'x,y,z'
loop_
_atom_site_label
_atom_site_fract_x
_atom_site_fract_y
_atom_site_fract_z
La1 0.000 0.000 0.000
La2 0.206 0.707 0.448
La3 0.245 0.245 0.445
La4 0.452 0.953 0.890
La5 0.500 0.500 0.001
La6 0.707 0.206 0.448
La7 0.746 0.746 0.444
La8 0.953 0.452 0.890
Ir1 0.083 0.083 0.633
Rh1 0.373 0.870 0.266
Rh2 0.581 0.581 0.626
Rh3 0.870 0.373 0.266
```

---

M_tot of number 1 (NaAc2AuO4)?
0.00 Bohr magnetons per cell